(1)
## AcEr2Au3 (PBE-GGA)

Data for a relaxed structure of AcEr2Au3.

Unit cell a=3.652 b=3.652 c=11.173 alpha=90.00 beta=90.00 gamma=90.00
Element x y z (fractional)
Er 0.500 0.500 0.158
Au 0.000 0.000 0.000
Er 0.500 0.500 0.842
Au 0.000 0.000 0.300
Ac 0.500 0.500 0.500
Au 0.000 0.000 0.700

The space group is No. 123.

***

(2)
## Ac2ErAu2 (PBE-GGA)

Data for a relaxed structure of Ac2ErAu2.

Unit cell a=4.150 b=6.663 c=6.663 alpha=65.14 beta=71.85 gamma=71.85
Element x y z (fractional)
Ac 0.801 0.699 0.699
Au 0.500 0.716 0.284
Ac 0.199 0.301 0.301
Au 0.500 0.284 0.716
Er 0.000 0.000 0.000

The space group is No. 71.

***

Calculated values (meV per atom) of formation energy from the elements for the records, taken in order: -829; -647.